(a)
First-principles (PBE) data for crystalline LaNdIn4 at its relaxed geometry, as listed in Alexandria.

The value obtained for the total magnetic moment is 0.0 μB per formula unit. The value obtained for the density of states at the Fermi level is 0.758 states/eV/atom.

a = 3.694 Å, b = 3.694 Å, c = 12.418 Å
α = 90.00°, β = 90.00°, γ = 87.50°
Fractional coordinates of all 6 atoms:
La  0.500  0.500  0.500
In  0.000  0.000  0.318
Nd  0.000  0.000  0.000
In  0.500  0.500  0.824
In  0.000  0.000  0.682
In  0.500  0.500  0.176

(b)
First-principles (PBE) data for crystalline LaNdIn4 at its relaxed geometry, as listed in Alexandria.

The value obtained for the total magnetic moment is 0.0 μB per formula unit. The value obtained for the density of states at the Fermi level is 0.789 states/eV/atom.

a = 6.127 Å, b = 6.127 Å, c = 6.127 Å
α = 60.00°, β = 60.00°, γ = 60.00°
Fractional coordinates of all 6 atoms:
In  0.625  0.625  0.625
In  0.625  0.625  0.125
In  0.625  0.125  0.625
Nd  0.250  0.250  0.250
In  0.125  0.625  0.625
La  0.000  0.000  0.000

Stability, lowest: (a)

(a)
First-principles (PBE) data for crystalline La8Nd2In at its relaxed geometry, as listed in Alexandria.

The value obtained for the total magnetic moment is 0.0 μB per formula unit. The value obtained for the density of states at the Fermi level is 1.482 states/eV/atom.

a = 5.789 Å, b = 9.211 Å, c = 9.087 Å
α = 119.32°, β = 108.57°, γ = 90.00°
Fractional coordinates of all 11 atoms:
La  0.073  0.718  0.146
In  0.500  0.000  0.000
La  0.422  0.574  0.844
La  0.578  0.426  0.156
Nd  0.765  0.398  0.531
La  0.322  0.067  0.643
Nd  0.235  0.602  0.469
La  0.927  0.282  0.854
La  0.877  0.843  0.753
La  0.123  0.157  0.247
La  0.678  0.933  0.357

(b)
First-principles (PBE) data for crystalline La8Nd2In at its relaxed geometry, as listed in Alexandria.

The value obtained for the total magnetic moment is 0.0 μB per formula unit. The value obtained for the density of states at the Fermi level is 1.423 states/eV/atom.

a = 6.251 Å, b = 10.495 Å, c = 10.495 Å
α = 38.05°, β = 66.65°, γ = 66.65°
Fractional coordinates of all 11 atoms:
La  0.212  0.533  0.533
Nd  0.094  0.720  0.720
La  0.670  0.904  0.904
La  0.681  0.893  0.416
In  0.000  0.000  0.000
La  0.681  0.416  0.893
La  0.788  0.467  0.467
La  0.319  0.584  0.107
Nd  0.906  0.280  0.280
La  0.330  0.096  0.096
La  0.319  0.107  0.584

Stability, lowest: (b)

(a)
First-principles (PBE) data for crystalline LaNd5In4 at its relaxed geometry, as listed in Alexandria.

The value obtained for the total magnetic moment is 0.0 μB per formula unit. The value obtained for the density of states at the Fermi level is 0.956 states/eV/atom.

a = 8.767 Å, b = 8.544 Å, c = 9.259 Å
α = 90.00°, β = 90.00°, γ = 90.00°
Fractional coordinates of all 20 atoms:
Nd  0.734  0.751  0.302
In  0.558  0.341  0.000
In  0.558  0.659  0.000
Nd  0.266  0.749  0.198
La  0.643  0.000  0.000
Nd  0.734  0.751  0.698
In  0.988  0.000  0.158
Nd  0.919  0.500  0.000
In  0.012  0.500  0.658
Nd  0.081  0.000  0.500
La  0.357  0.500  0.500
Nd  0.266  0.251  0.802
In  0.012  0.500  0.342
Nd  0.734  0.249  0.698
In  0.442  0.841  0.500
In  0.988  0.000  0.842
Nd  0.266  0.749  0.802
In  0.442  0.159  0.500
Nd  0.266  0.251  0.198
Nd  0.734  0.249  0.302

(b)
First-principles (PBE) data for crystalline LaNd5In4 at its relaxed geometry, as listed in Alexandria.

The value obtained for the total magnetic moment is 0.0 μB per formula unit. The value obtained for the density of states at the Fermi level is 0.739 states/eV/atom.

a = 3.650 Å, b = 3.650 Å, c = 22.795 Å
α = 90.00°, β = 90.00°, γ = 90.00°
Fractional coordinates of all 10 atoms:
In  0.000  0.000  0.788
In  0.000  0.000  0.404
Nd  0.500  0.500  0.500
Nd  0.500  0.500  0.882
Nd  0.500  0.500  0.309
Nd  0.500  0.500  0.691
Nd  0.500  0.500  0.118
In  0.000  0.000  0.212
La  0.000  0.000  0.000
In  0.000  0.000  0.596

Stability, lowest: (a)

(a)
First-principles (PBE) data for crystalline La2NdIn at its relaxed geometry, as listed in Alexandria.

The value obtained for the total magnetic moment is 0.0 μB per formula unit. The value obtained for the density of states at the Fermi level is 1.057 states/eV/atom.

a = 3.729 Å, b = 3.729 Å, c = 9.667 Å
α = 90.00°, β = 90.00°, γ = 90.00°
Fractional coordinates of all 4 atoms:
Nd  0.500  0.500  0.500
In  0.500  0.500  0.000
La  0.000  0.000  0.226
La  0.000  0.000  0.774

(b)
First-principles (PBE) data for crystalline La2NdIn at its relaxed geometry, as listed in Alexandria.

The value obtained for the total magnetic moment is 1.1 μB per formula unit. The value obtained for the density of states at the Fermi level is 1.777 states/eV/atom.

a = 5.699 Å, b = 5.699 Å, c = 5.699 Å
α = 60.00°, β = 60.00°, γ = 60.00°
Each line ends with the local moment (μB).
Fractional coordinates of all 4 atoms:
Nd  0.500  0.500  0.500  0.25
La  0.250  0.250  0.250  0.15
In  0.000  0.000  0.000  -0.01
La  0.750  0.750  0.750  0.15

(c)
First-principles (PBE) data for crystalline La2NdIn at its relaxed geometry, as listed in Alexandria.

The value obtained for the total magnetic moment is 0.0 μB per formula unit. The value obtained for the density of states at the Fermi level is 1.605 states/eV/atom.

a = 5.116 Å, b = 4.996 Å, c = 4.996 Å
α = 90.00°, β = 90.00°, γ = 90.00°
Fractional coordinates of all 4 atoms:
Nd  0.500  0.500  0.500
In  0.500  0.000  0.000
La  0.000  0.000  0.500
La  0.000  0.500  0.000

Stability, lowest: (b)

(a)
First-principles (PBE) data for crystalline La2Nd5In4 at its relaxed geometry, as listed in Alexandria.

The value obtained for the total magnetic moment is 0.0 μB per formula unit. The value obtained for the density of states at the Fermi level is 0.960 states/eV/atom.

a = 3.659 Å, b = 8.627 Å, c = 12.504 Å
α = 114.32°, β = 98.41°, γ = 90.00°
Fractional coordinates of all 11 atoms:
In  0.017  0.706  0.035
In  0.983  0.294  0.965
Nd  0.168  0.909  0.336
In  0.587  0.558  0.175
Nd  0.123  0.290  0.246
La  0.267  0.341  0.533
In  0.413  0.442  0.825
Nd  0.500  0.000  0.000
Nd  0.832  0.091  0.664
La  0.733  0.659  0.467
Nd  0.877  0.710  0.754

(b)
First-principles (PBE) data for crystalline La2Nd5In4 at its relaxed geometry, as listed in Alexandria.

The value obtained for the total magnetic moment is 0.0 μB per formula unit. The value obtained for the density of states at the Fermi level is 1.206 states/eV/atom.

a = 3.523 Å, b = 8.859 Å, c = 10.891 Å
α = 84.34°, β = 90.00°, γ = 90.00°
Fractional coordinates of all 11 atoms:
La  0.000  0.921  0.635
Nd  0.000  0.500  0.000
Nd  0.000  0.544  0.667
In  0.500  0.745  0.420
La  0.000  0.079  0.365
Nd  0.000  0.456  0.333
Nd  0.000  0.159  0.858
In  0.500  0.800  0.883
In  0.500  0.200  0.117
Nd  0.000  0.841  0.142
In  0.500  0.255  0.580

Stability, lowest: (a)

(a)
First-principles (PBE) data for crystalline LaNd5In2 at its relaxed geometry, as listed in Alexandria.

The value obtained for the total magnetic moment is 0.0 μB per formula unit. The value obtained for the density of states at the Fermi level is 1.498 states/eV/atom.

a = 3.746 Å, b = 8.651 Å, c = 8.651 Å
α = 78.67°, β = 77.50°, γ = 77.50°
Fractional coordinates of all 8 atoms:
Nd  0.361  0.861  0.418
In  0.732  0.768  0.768
Nd  0.361  0.418  0.861
Nd  0.639  0.582  0.139
La  0.000  0.000  0.000
Nd  0.000  0.500  0.500
In  0.268  0.232  0.232
Nd  0.639  0.139  0.582

(b)
First-principles (PBE) data for crystalline LaNd5In2 at its relaxed geometry, as listed in Alexandria.

The value obtained for the total magnetic moment is 0.0 μB per formula unit. The value obtained for the density of states at the Fermi level is 1.493 states/eV/atom.

a = 5.019 Å, b = 7.060 Å, c = 14.117 Å
α = 90.00°, β = 90.00°, γ = 90.00°
Fractional coordinates of all 16 atoms:
Nd  0.000  0.000  0.000
La  0.000  0.000  0.500
In  0.500  0.746  0.374
La  0.000  0.500  0.000
In  0.500  0.254  0.626
Nd  0.000  0.495  0.251
Nd  0.500  0.750  0.626
Nd  0.000  0.500  0.500
Nd  0.500  0.250  0.874
Nd  0.000  0.995  0.249
Nd  0.000  0.005  0.751
Nd  0.500  0.250  0.374
In  0.500  0.754  0.874
In  0.500  0.246  0.126
Nd  0.500  0.750  0.126
Nd  0.000  0.505  0.749

Stability, lowest: (a)

(a)
First-principles (PBE) data for crystalline La8NdIn2 at its relaxed geometry, as listed in Alexandria.

The value obtained for the total magnetic moment is 0.0 μB per formula unit. The value obtained for the density of states at the Fermi level is 1.440 states/eV/atom.

a = 5.314 Å, b = 9.186 Å, c = 9.497 Å
α = 118.94°, β = 106.27°, γ = 90.00°
Fractional coordinates of all 11 atoms:
La  0.660  0.873  0.319
La  0.000  0.330  0.000
La  0.849  0.849  0.698
La  0.340  0.127  0.681
Nd  0.500  0.000  0.000
La  0.000  0.670  0.000
In  0.801  0.302  0.603
La  0.340  0.554  0.681
La  0.151  0.151  0.302
La  0.660  0.446  0.319
In  0.199  0.698  0.397

(b)
First-principles (PBE) data for crystalline La8NdIn2 at its relaxed geometry, as listed in Alexandria.

The value obtained for the total magnetic moment is 0.0 μB per formula unit. The value obtained for the density of states at the Fermi level is 1.506 states/eV/atom.

a = 6.326 Å, b = 10.233 Å, c = 10.233 Å
α = 39.80°, β = 65.84°, γ = 65.84°
Fractional coordinates of all 11 atoms:
La  0.759  0.440  0.908
Nd  0.000  0.000  0.000
La  0.691  0.868  0.868
In  0.756  0.321  0.321
La  0.309  0.132  0.132
La  0.759  0.908  0.440
La  0.735  0.502  0.502
La  0.241  0.560  0.092
In  0.244  0.679  0.679
La  0.241  0.092  0.560
La  0.265  0.498  0.498

Stability, lowest: (b)

(a)
First-principles (PBE) data for crystalline LaNd2In2 at its relaxed geometry, as listed in Alexandria.

The value obtained for the total magnetic moment is 0.0 μB per formula unit. The value obtained for the density of states at the Fermi level is 1.029 states/eV/atom.

a = 7.024 Å, b = 5.260 Å, c = 9.412 Å
α = 90.01°, β = 68.17°, γ = 90.00°
Fractional coordinates of all 10 atoms:
In  0.590  0.250  0.251
Nd  0.731  0.250  0.540
La  0.912  0.750  0.171
Nd  0.548  0.250  0.906
La  0.088  0.250  0.829
In  0.158  0.250  0.249
Nd  0.269  0.750  0.460
In  0.410  0.750  0.749
Nd  0.452  0.750  0.094
In  0.842  0.750  0.751

(b)
First-principles (PBE) data for crystalline LaNd2In2 at its relaxed geometry, as listed in Alexandria.

The value obtained for the total magnetic moment is 0.0 μB per formula unit. The value obtained for the density of states at the Fermi level is 0.874 states/eV/atom.

a = 4.527 Å, b = 5.124 Å, c = 13.406 Å
α = 90.00°, β = 99.69°, γ = 90.00°
Fractional coordinates of all 10 atoms:
In  0.545  0.250  0.090
La  0.857  0.750  0.712
In  0.455  0.750  0.910
In  0.648  0.750  0.298
Nd  0.237  0.750  0.475
Nd  0.951  0.250  0.900
Nd  0.049  0.750  0.100
Nd  0.763  0.250  0.525
La  0.143  0.250  0.288
In  0.352  0.250  0.702

Stability, lowest: (a)

(a)
First-principles (PBE) data for crystalline LaNdIn6 at its relaxed geometry, as listed in Alexandria.

The value obtained for the total magnetic moment is 0.0 μB per formula unit. The value obtained for the density of states at the Fermi level is 0.456 states/eV/atom.

a = 5.230 Å, b = 6.878 Å, c = 6.878 Å
α = 119.90°, β = 90.00°, γ = 90.00°
Fractional coordinates of all 8 atoms:
Nd  0.000  0.084  0.916
In  0.500  0.907  0.093
In  0.000  0.062  0.406
In  0.500  0.436  0.093
In  0.000  0.594  0.938
La  0.500  0.416  0.584
In  0.000  0.594  0.406
In  0.500  0.907  0.564

(b)
First-principles (PBE) data for crystalline LaNdIn6 at its relaxed geometry, as listed in Alexandria.

The value obtained for the total magnetic moment is 0.0 μB per formula unit. The value obtained for the density of states at the Fermi level is 0.568 states/eV/atom.

a = 4.754 Å, b = 4.754 Å, c = 9.501 Å
α = 90.00°, β = 90.00°, γ = 90.00°
Fractional coordinates of all 8 atoms:
In  0.500  0.000  0.253
Nd  0.000  0.000  0.500
La  0.000  0.000  0.000
In  0.500  0.500  0.500
In  0.000  0.500  0.747
In  0.000  0.500  0.253
In  0.500  0.500  0.000
In  0.500  0.000  0.747

Stability, lowest: (a)

(a)
First-principles (PBE) data for crystalline La5Nd2In at its relaxed geometry, as listed in Alexandria.

The value obtained for the total magnetic moment is 0.0 μB per formula unit. The value obtained for the density of states at the Fermi level is 1.429 states/eV/atom.

a = 7.344 Å, b = 7.343 Å, c = 6.905 Å
α = 105.43°, β = 105.44°, γ = 119.96°
Fractional coordinates of all 8 atoms:
Nd  0.212  0.803  0.460
La  0.340  0.761  0.000
La  0.240  0.316  0.500
La  0.740  0.815  0.500
La  0.795  0.216  0.000
La  0.327  0.228  0.000
In  0.815  0.741  0.000
Nd  0.753  0.344  0.540

(b)
First-principles (PBE) data for crystalline La5Nd2In at its relaxed geometry, as listed in Alexandria.

The value obtained for the total magnetic moment is 0.0 μB per formula unit. The value obtained for the density of states at the Fermi level is 1.179 states/eV/atom.

a = 7.494 Å, b = 7.494 Å, c = 7.137 Å
α = 121.65°, β = 121.65°, γ = 90.03°
Fractional coordinates of all 8 atoms:
La  0.241  0.241  0.938
La  0.696  0.241  0.937
La  0.241  0.696  0.937
Nd  0.722  0.222  0.444
In  0.195  0.195  0.389
Nd  0.222  0.722  0.444
La  0.764  0.764  0.528
La  0.697  0.697  0.938

Stability, lowest: (b)

(a)
First-principles (PBE) data for crystalline La2Nd3In4 at its relaxed geometry, as listed in Alexandria.

The value obtained for the total magnetic moment is 0.0 μB per formula unit. The value obtained for the density of states at the Fermi level is 0.791 states/eV/atom.

a = 7.342 Å, b = 9.508 Å, c = 9.168 Å
α = 90.00°, β = 113.61°, γ = 90.00°
Fractional coordinates of all 18 atoms:
In  0.782  0.250  0.065
In  0.814  0.031  0.629
Nd  0.528  0.750  0.556
La  0.892  0.431  0.784
In  0.282  0.250  0.065
Nd  0.028  0.750  0.556
La  0.108  0.569  0.216
In  0.718  0.750  0.935
In  0.314  0.469  0.629
In  0.218  0.750  0.935
In  0.686  0.531  0.371
La  0.392  0.069  0.784
Nd  0.000  0.000  0.000
La  0.608  0.931  0.216
Nd  0.972  0.250  0.444
Nd  0.500  0.500  0.000
Nd  0.472  0.250  0.444
In  0.186  0.969  0.371

(b)
First-principles (PBE) data for crystalline La2Nd3In4 at its relaxed geometry, as listed in Alexandria.

The value obtained for the total magnetic moment is 0.0 μB per formula unit. The value obtained for the density of states at the Fermi level is 1.154 states/eV/atom.

a = 5.508 Å, b = 5.498 Å, c = 10.547 Å
α = 90.18°, β = 90.00°, γ = 59.94°
Fractional coordinates of all 9 atoms:
In  0.334  0.332  0.102
In  0.000  0.001  0.648
In  0.666  0.668  0.898
In  0.000  0.999  0.352
La  0.333  0.334  0.782
Nd  0.666  0.667  0.576
La  0.667  0.666  0.218
Nd  0.334  0.333  0.424
Nd  0.000  0.000  0.000

Stability, lowest: (a)